[1]
The following is a DFT calculation (GGA-PBE) of an optimized crystal structure of CuHW.

```
CuHW
1.0
5.1811 0.0000 0.0000
0.0000 4.2488 0.0000
0.0000 0.0000 5.7260
H Cu W
4 4 4
Direct
0.0842 0.2500 0.8355
0.4158 0.7500 0.3355
0.9158 0.7500 0.1645
0.5842 0.2500 0.6645
0.9183 0.2500 0.5767
0.5817 0.7500 0.0767
0.0817 0.7500 0.4233
0.4183 0.2500 0.9233
0.4135 0.2500 0.3822
0.0865 0.7500 0.8822
0.5865 0.7500 0.6178
0.9135 0.2500 0.1178
```

The value obtained for the total magnetization is 0.00 Bohr magnetons per cell. The energy above the most stable polymorph in this dataset comes out at 0.102 eV/atom.

[2]
The following is a DFT calculation (GGA-PBE) of an optimized crystal structure of B8H.

```
B8H
1.0
5.7547 0.0000 0.0000
-2.8774 4.9837 0.0000
0.0000 0.0000 1.9449
H B
1 8
Direct
0.3333 0.1667 0.2500
0.5117 0.5234 0.2500
0.5117 0.9883 0.2500
0.9766 0.9883 0.2500
0.0000 0.5000 0.7499
0.1549 0.3451 0.2500
0.1549 0.8099 0.2500
0.6667 0.8333 0.7501
0.6901 0.3451 0.2500
```

The value obtained for the total magnetization is 0.00 Bohr magnetons per cell. As for the energy: -5.78 eV per atom.

[3]
The following is a DFT calculation (GGA-PBE) of an optimized crystal structure of HoCo12B4.

```
HoCo12B4
1.0
-6.1981 0.6553 -0.3978
1.7946 -4.9264 -3.3932
1.6216 -0.8798 5.9666
Ho Co B
1 12 4
Direct
0.0000 0.0000 0.0000
0.8242 0.3420 0.1662
0.3420 0.5178 0.1758
0.8338 0.1758 0.6580
0.3420 0.1662 0.8242
0.1662 0.8242 0.3420
0.6580 0.4822 0.8242
0.5178 0.1758 0.3420
0.4822 0.8242 0.6580
0.6580 0.8338 0.1758
0.8242 0.6580 0.4822
0.1758 0.3420 0.5178
0.1758 0.6580 0.8338
0.0000 0.5000 0.0000
0.5000 0.0000 0.0000
0.5000 0.5000 0.5000
0.0000 0.0000 0.5000
```

The value obtained for the total magnetization is 14.21 Bohr magnetons per cell. The energy of formation is 0.079 eV/atom.

What is the formula in the first record?
CuHW